DFT (PBE) results for a relaxed structure of Y2CoOs3.

Results
Magnetization: 0.60 Bohr magnetons per cell
Final energy: -9.232 eV/atom
Formation enthalpy at 0 K: -278 meV per atom

Unit cell a=5.266 b=5.266 c=5.323 alpha=119.68 beta=119.68 gamma=60.04
Fractional coordinates of all 6 atoms:
Y: 0.124 0.124 0.372
Y: 0.876 0.876 0.628
Co: 0.500 0.500 0.500
Os: 0.000 0.500 0.000
Os: 0.500 0.000 0.000
Os: 0.500 0.500 0.000